# Ca2TcOsO6 | Alexandria via LeMat-Bulk | PBE-GGA | optimized geometry
# total energy = -7.297 eV per atom
# uncorrected formation energy = -1762 meV per atom
data_Ca2TcOsO6
_space_group_name_H-M_alt 'P 4 m m'
_space_group_IT_number 99
_cell_length_a 5.591
_cell_length_b 5.591
_cell_length_c 3.980
_cell_angle_alpha 90.00
_cell_angle_beta 90.00
_cell_angle_gamma 90.00
loop_
_space_group_symop_operation_xyz
'x,y,z'
'-y,x,z'
'-x,-y,z'
'y,-x,z'
'-x,y,z'
'y,x,z'
'x,-y,z'
'-y,-x,z'
loop_
_atom_site_label
_atom_site_fract_x
_atom_site_fract_y
_atom_site_fract_z
_atom_site_occupancy
Ca1 0.000 0.500 0.000 1
Tc1 0.000 0.000 0.579 1
Os1 0.500 0.500 0.584 1
O1 0.000 0.000 0.086 1
O2 0.250 0.250 0.606 1
O3 0.500 0.500 0.088 1